# GGA+U Re3MoO, relaxed
# Space group = No. 221
# Calculated total energy = -9.2971 eV/atom
# V = 13.75 A^3/atom
# E above lowest polymorph = 0 meV per atom
# Crystal system = cubic
# M_tot = 0.000 μB per atom
data_Re3MoO
_cell_length_a 4.097
_cell_length_b 4.097
_cell_length_c 4.097
_cell_angle_alpha 90.00
_cell_angle_beta 90.00
_cell_angle_gamma 90.00
_symmetry_space_group_name_H-M 'P 1'
_symmetry_Int_Tables_number 1
_symmetry_space_group_name_Hall 'P 1'
loop_
_atom_site_label
_atom_site_fract_x
_atom_site_fract_y
_atom_site_fract_z
Re1 0.000 0.500 0.000
Re2 0.000 0.000 0.500
Re3 0.500 0.000 0.000
Mo1 0.500 0.500 0.500
O1 0.000 0.000 0.000